Record 1
First-principles (PBE-GGA) data for an optimized crystal structure of Ni2Ir2Pb, as listed in Alexandria.

Cell: 7.3638 7.3638 2.8610 Å, 90.00 90.00 90.00°
Space group P4/mbm (No. 127)
One atom of each set of equivalent atoms:
Ni 0.1693 0.3307 0.0000 x4
Ir 0.1269 0.6269 0.5000 x4
Pb 0.0000 0.0000 0.5000 x2

Values from the calculation:
DFT formation energy = 333 meV/atom
Calculated total energy = -62.652 eV for the cell shown

Record 2
First-principles (PBE-GGA) data for an optimized crystal structure of Ni2IrPb, as listed in Alexandria.

Cell: 3.9474 3.9474 7.6550 Å, 90.00 90.00 90.00°
Space group I-4m2 (No. 119)
One atom of each set of equivalent atoms:
Ni 0.0000 0.0000 0.0000 x2
Ni 0.0000 0.5000 0.2500 x2
Ir 0.0000 0.0000 0.5000 x2
Pb 0.0000 0.5000 0.7500 x2

Values from the calculation:
DFT formation energy = 270 meV/atom
Calculated total energy = -46.101 eV for the cell shown